Entry 1:
The following is a DFT calculation (GGA-PBE) of AlCuW2 after structural relaxation.

CIF file:
```
data_AlCuW2
_cell_length_a 2.7529
_cell_length_b 4.2822
_cell_length_c 5.1202
_cell_angle_alpha 90.00
_cell_angle_beta 98.72
_cell_angle_gamma 90.00
_symmetry_space_group_name_H-M 'P 1 m 1'
_symmetry_Int_Tables_number 6
loop_
_symmetry_equiv_pos_as_xyz
'x,y,z'
'x,-y,z'
loop_
_atom_site_label
_atom_site_type_symbol
_atom_site_fract_x
_atom_site_fract_y
_atom_site_fract_z
_atom_site_occupancy
Al1 Al 0.0000 0.0000 0.0000 1
Cu1 Cu 0.0282 0.5000 0.2432 1
W1 W 0.4032 0.5000 0.7536 1
W2 W 0.6159 0.0000 0.4878 1
```

Calculated values
energy of formation from the pure elements	0.05	eV per atom
total energy	-33.54	eV/f.u.
N(E_F)	0.437	states/eV/atom


Entry 2:
The following is a DFT calculation (GGA-PBE) of AlCuW2 after structural relaxation.

CIF file:
```
data_AlCuW2
_cell_length_a 9.1856
_cell_length_b 2.6972
_cell_length_c 4.8757
_cell_angle_alpha 90.00
_cell_angle_beta 97.87
_cell_angle_gamma 90.00
_symmetry_space_group_name_H-M 'C 1 m 1'
_symmetry_Int_Tables_number 8
loop_
_symmetry_equiv_pos_as_xyz
'x,y,z'
'x,-y,z'
'x+1/2,y+1/2,z'
'x+1/2,-y+1/2,z'
loop_
_atom_site_label
_atom_site_type_symbol
_atom_site_fract_x
_atom_site_fract_y
_atom_site_fract_z
_atom_site_occupancy
Al1 Al 0.0000 0.0000 0.0000 1
Cu1 Cu 0.2565 0.0000 0.7745 1
W1 W 0.0101 0.5000 0.5117 1
W2 W 0.2506 0.5000 0.2672 1
```

Calculated values
energy of formation from the pure elements	0.15	eV per atom
total energy	-33.13	eV/f.u.
N(E_F)	0.298	states/eV/atom